# 1
Density functional theory data (GGA-PBE) for a relaxed structure of La2MoBr.

Unit cell a=3.5720 b=5.1487 c=6.0565 alpha=90.00 beta=106.55 gamma=90.00
Element x y z (fractional)
La 0.0000 0.0000 0.0000
La 0.3301 0.5000 0.5655
Mo 0.3082 0.5000 0.9666
Br 0.7617 0.0000 0.4650

Summary:
**Formation energy without anion corrections**: -0.32 eV/atom
**Spin magnetization**: 0.0 μB per formula unit
**Energy**: -5.914 eV/atom


# 2
Density functional theory data (GGA-PBE) for a relaxed structure of Nd5Np3S12.

Unit cell a=14.2617 b=14.2617 c=14.2617 alpha=109.47 beta=109.47 gamma=109.47
Element x y z (fractional)
Nd 0.0000 0.0000 0.0000
Nd 0.0000 0.0000 0.5000
Nd 0.0000 0.5000 0.0000
Nd 0.0000 0.5000 0.5000
Nd 0.1250 0.7500 0.8750
Nd 0.1250 0.8750 0.2500
Nd 0.2500 0.1250 0.8750
Nd 0.2500 0.6250 0.3750
Nd 0.3750 0.2500 0.6250
Nd 0.3750 0.6250 0.7500
Nd 0.5000 0.0000 0.0000
Nd 0.5000 0.0000 0.5000
Nd 0.5000 0.5000 0.0000
Nd 0.5000 0.5000 0.5000
Nd 0.6250 0.3750 0.2500
Nd 0.6250 0.7500 0.3750
Nd 0.7500 0.3750 0.6250
Nd 0.7500 0.8750 0.1250
Nd 0.8750 0.1250 0.7500
Nd 0.8750 0.2500 0.1250
Np 0.1250 0.2500 0.3750
Np 0.1250 0.3750 0.7500
Np 0.2500 0.3750 0.1250
Np 0.2500 0.8750 0.6250
Np 0.3750 0.1250 0.2500
Np 0.3750 0.7500 0.1250
Np 0.6250 0.2500 0.8750
Np 0.6250 0.8750 0.7500
Np 0.7500 0.1250 0.3750
Np 0.7500 0.6250 0.8750
Np 0.8750 0.6250 0.2500
Np 0.8750 0.7500 0.6250
S 0.0542 0.2276 0.1342
S 0.0542 0.3266 0.9200
S 0.0800 0.6342 0.4066
S 0.0800 0.9458 0.6734
S 0.0934 0.7276 0.6734
S 0.0934 0.8658 0.4200
S 0.1342 0.0542 0.2276
S 0.1342 0.5800 0.9066
S 0.1734 0.2276 0.5934
S 0.1734 0.4458 0.5800
S 0.2276 0.1342 0.0542
S 0.2276 0.5934 0.1734
S 0.2724 0.3266 0.9066
S 0.2724 0.4458 0.3658
S 0.3266 0.9066 0.2724
S 0.3266 0.9200 0.0542
S 0.3658 0.2724 0.4458
S 0.3658 0.5934 0.9200
S 0.4066 0.0800 0.6342
S 0.4066 0.8266 0.7724
S 0.4200 0.0934 0.8658
S 0.4200 0.8266 0.5542
S 0.4458 0.3658 0.2724
S 0.4458 0.5800 0.1734
S 0.5542 0.4200 0.8266
S 0.5542 0.6342 0.7276
S 0.5800 0.1734 0.4458
S 0.5800 0.9066 0.1342
S 0.5934 0.1734 0.2276
S 0.5934 0.9200 0.3658
S 0.6342 0.4066 0.0800
S 0.6342 0.7276 0.5542
S 0.6734 0.0800 0.9458
S 0.6734 0.0934 0.7276
S 0.7276 0.5542 0.6342
S 0.7276 0.6734 0.0934
S 0.7724 0.4066 0.8266
S 0.7724 0.8658 0.9458
S 0.8266 0.5542 0.4200
S 0.8266 0.7724 0.4066
S 0.8658 0.4200 0.0934
S 0.8658 0.9458 0.7724
S 0.9066 0.1342 0.5800
S 0.9066 0.2724 0.3266
S 0.9200 0.0542 0.3266
S 0.9200 0.3658 0.5934
S 0.9458 0.6734 0.0800
S 0.9458 0.7724 0.8658

Summary:
**Formation energy without anion corrections**: -1.53 eV/atom
**Spin magnetization**: 12.0 μB per formula unit
**Energy**: -7.143 eV/atom


# 3
Density functional theory data (GGA-PBE) for a relaxed structure of Na3InAs2Pd9.

Unit cell a=6.5077 b=6.5077 c=9.1498 alpha=90.00 beta=90.00 gamma=120.00
Element x y z (fractional)
Na 0.0000 0.0000 0.0000
Na 0.3333 0.6667 0.7122
Na 0.6667 0.3333 0.2878
In 0.0000 0.0000 0.5000
As 0.3333 0.6667 0.1711
As 0.6667 0.3333 0.8289
Pd 0.0000 0.5000 0.0000
Pd 0.1382 0.2764 0.2572
Pd 0.1382 0.8618 0.2572
Pd 0.2764 0.1382 0.7428
Pd 0.5000 0.0000 0.0000
Pd 0.5000 0.5000 0.0000
Pd 0.7236 0.8618 0.2572
Pd 0.8618 0.1382 0.7428
Pd 0.8618 0.7236 0.7428

Summary:
**Spin magnetization**: 0.0 μB per formula unit
**Calculated formation energy**: -0.175 eV per atom
**Energy**: -4.357 eV/atom


# 4
Density functional theory data (GGA-PBE) for a relaxed structure of Tb2PmPr.

Unit cell a=5.1312 b=5.1312 c=5.0954 alpha=90.00 beta=90.00 gamma=90.00
Element x y z (fractional)
Tb 0.0000 0.5000 0.0000
Tb 0.5000 0.0000 0.0000
Pm 0.0000 0.0000 0.5000
Pr 0.5000 0.5000 0.5000

Summary:
**Spin magnetization**: 0.0 μB per formula unit
**Calculated formation energy**: 0.019 eV per atom
**Energy**: -4.679 eV/atom


# 5
Density functional theory data (GGA-PBE) for a relaxed structure of NbSnB2Br.

Unit cell a=4.1480 b=4.1480 c=5.5341 alpha=90.00 beta=90.00 gamma=90.00
Element x y z (fractional)
Nb 0.0000 0.0000 0.0000
Sn 0.5000 0.5000 0.0000
B 0.0000 0.5000 0.5000
B 0.5000 0.0000 0.5000
Br 0.5000 0.5000 0.5000

Summary:
**Formation energy without anion corrections**: 2.16 eV/atom
**Spin magnetization**: 0.0 μB per formula unit
**Energy**: -3.663 eV/atom


# 6
Density functional theory data (GGA-PBE) for a relaxed structure of LiDy2ErHg4.

Unit cell a=8.9798 b=8.9798 c=8.9798 alpha=33.24 beta=33.24 gamma=33.24
Element x y z (fractional)
Li 0.0000 0.0000 0.0000
Dy 0.2541 0.2541 0.2541
Dy 0.7459 0.7459 0.7459
Er 0.5000 0.5000 0.5000
Hg 0.1238 0.1238 0.1238
Hg 0.3745 0.3745 0.3745
Hg 0.6255 0.6255 0.6255
Hg 0.8762 0.8762 0.8762

Summary:
**Spin magnetization**: 0.0 μB per formula unit
**Calculated formation energy**: -0.459 eV per atom
**Energy**: -2.570 eV/atom


# 7
Density functional theory data (GGA-PBE) for a relaxed structure of EuZnSnAu.

Unit cell a=5.0387 b=5.0387 c=5.0387 alpha=60.00 beta=60.00 gamma=60.00
Element x y z (fractional)
Eu 0.0000 0.0000 0.0000
Zn 0.7500 0.7500 0.7500
Sn 0.5000 0.5000 0.5000
Au 0.2500 0.2500 0.2500

Summary:
**Spin magnetization**: 6.9 μB per formula unit
**Calculated formation energy**: -0.481 eV per atom
**Energy**: -5.188 eV/atom


# 8
Density functional theory data (GGA-PBE) for a relaxed structure of V2GeCl6.

Unit cell a=8.9826 b=8.9826 c=6.4111 alpha=92.16 beta=92.16 gamma=75.21
Element x y z (fractional)
V 0.0821 0.2813 0.2080
V 0.2813 0.0821 0.7080
V 0.7187 0.9179 0.2920
V 0.9179 0.7187 0.7920
Ge 0.4617 0.5383 0.7500
Ge 0.5383 0.4617 0.2500
Cl 0.0506 0.1914 0.8705
Cl 0.1517 0.6163 0.6505
Cl 0.1914 0.0506 0.3705
Cl 0.2450 0.4327 0.1626
Cl 0.3837 0.8483 0.8495
Cl 0.4327 0.2450 0.6626
Cl 0.5673 0.7550 0.3374
Cl 0.6163 0.1517 0.1505
Cl 0.7550 0.5673 0.8374
Cl 0.8086 0.9494 0.6295
Cl 0.8483 0.3837 0.3495
Cl 0.9494 0.8086 0.1295

Summary:
**Formation energy without anion corrections**: -0.79 eV/atom
**Spin magnetization**: 5.1 μB per formula unit
**Energy**: -4.564 eV/atom